Entry from Alexandria via LeMat-Bulk: crystalline MnCSN2 at its relaxed geometry (GGA-PBE).

Unit cell a=3.5195 b=4.3818 c=3.5195 alpha=90.00 beta=90.00 gamma=90.00
Closest atoms and distances in Å follow each position.
Fractional positions:
S 0.5000 0.5000 0.5000  4 C 2.49
Mn 0.0000 0.0000 0.0000  4 N 1.76
C 0.0000 0.5000 0.0000  2 Mn 2.19
N 0.0000 0.0000 0.5000  2 Mn 1.76
N 0.5000 0.0000 0.0000  2 Mn 1.76

Magnetic moment, μB per formula unit: 0.0
Density of states at the Fermi level, states/eV per cell: 2.319


Entry from Alexandria via LeMat-Bulk: crystalline MnCSN2 at its relaxed geometry (GGA-PBE).

Unit cell a=3.4524 b=3.4524 c=4.0725 alpha=90.00 beta=90.00 gamma=90.00
Closest atoms and distances in Å follow each position.
Fractional positions:
S 0.0000 0.0000 0.5000  2 C 2.04
Mn 0.5000 0.5000 0.5000  4 S 2.44, 8 N 2.67
C 0.0000 0.0000 0.0000  4 N 1.73
N 0.0000 0.5000 0.0000  2 C 1.73
N 0.5000 0.0000 0.0000  2 C 1.73

Magnetic moment, μB per formula unit: 2.8
Density of states at the Fermi level, states/eV per cell: 2.771


Entry from Alexandria via LeMat-Bulk: crystalline MnCSN2 at its relaxed geometry (GGA-PBE).

Unit cell a=3.4801 b=3.4801 c=5.0419 alpha=90.00 beta=90.00 gamma=90.00
Closest atoms and distances in Å follow each position.
Fractional positions:
S 0.0000 0.0000 0.5000  4 C 2.46, 2 Mn 2.52
Mn 0.0000 0.0000 0.0000  4 N 1.74
C 0.5000 0.5000 0.5000  4 S 2.46
N 0.0000 0.5000 0.0000  2 Mn 1.74
N 0.5000 0.0000 0.0000  2 Mn 1.74

Magnetic moment, μB per formula unit: 0.8
Density of states at the Fermi level, states/eV per cell: 3.047


Entry from Alexandria via LeMat-Bulk: crystalline ScMn2CN at its relaxed geometry (GGA-PBE).

Unit cell a=3.6073 b=4.7706 c=3.6073 alpha=90.00 beta=90.00 gamma=90.00
Closest atoms and distances in Å follow each position.
Fractional positions:
Sc 0.5000 0.5000 0.5000  4 C 2.55
C 0.0000 0.5000 0.0000  2 N 2.39, 4 Sc 2.55
Mn 0.0000 0.0000 0.5000  2 N 1.80
Mn 0.5000 0.0000 0.0000  2 N 1.80
N 0.0000 0.0000 0.0000  4 Mn 1.80

Magnetic moment, μB per formula unit: 3.9
Density of states at the Fermi level, states/eV per cell: 2.755


Entry from Alexandria via LeMat-Bulk: crystalline MnCSeN2 at its relaxed geometry (GGA-PBE).

Unit cell a=3.4736 b=3.4736 c=5.3735 alpha=90.00 beta=90.00 gamma=90.00
Closest atoms and distances in Å follow each position.
Fractional positions:
C 0.5000 0.5000 0.5000  4 Se 2.46
Mn 0.0000 0.0000 0.0000  4 N 1.74
Se 0.0000 0.0000 0.5000  4 C 2.46, 2 Mn 2.69
N 0.0000 0.5000 0.0000  2 Mn 1.74
N 0.5000 0.0000 0.0000  2 Mn 1.74

Magnetic moment, μB per formula unit: 0.9
Density of states at the Fermi level, states/eV per cell: 2.933


Entry from Alexandria via LeMat-Bulk: crystalline MnCSeN2 at its relaxed geometry (GGA-PBE).

Unit cell a=3.5086 b=3.5086 c=4.0723 alpha=90.00 beta=90.00 gamma=90.00
Closest atoms and distances in Å follow each position.
Fractional positions:
C 0.0000 0.0000 0.0000  4 N 1.75
Mn 0.5000 0.5000 0.5000  4 Se 2.48, 8 N 2.69
Se 0.0000 0.0000 0.5000  2 C 2.04
N 0.0000 0.5000 0.0000  2 C 1.75
N 0.5000 0.0000 0.0000  2 C 1.75

Magnetic moment, μB per formula unit: 0.1
Density of states at the Fermi level, states/eV per cell: 6.026


| no. | raw formation energy (kJ per mole of atoms) |
| --- | --- |
| 1 | 158 |
| 2 | 186 |
| 3 | 165 |
| 4 | 40 |
| 5 | 151 |
| 6 | 223 |